! Mn2Nb2In | Alexandria via LeMat-Bulk | PBE | relaxed; values from VASP
&SYSTEM
  ibrav = 0, nat = 10, ntyp = 3
/
ATOMIC_SPECIES
Nb 92.91 Nb.upf
Mn 54.94 Mn.upf
In 114.82 In.upf
ATOMIC_POSITIONS crystal
Nb 0.178 0.678 0.500
Nb 0.678 0.822 0.500
Nb 0.822 0.322 0.500
Nb 0.322 0.178 0.500
Mn 0.378 0.878 0.000
Mn 0.878 0.622 0.000
Mn 0.622 0.122 0.000
Mn 0.122 0.378 0.000
In 0.000 0.000 0.000
In 0.500 0.500 0.000
CELL_PARAMETERS angstrom
7.116 0.000 0.000
0.000 7.116 0.000
0.000 0.000 3.257
! crystal system	tetragonal
! E	-8.146	eV/atom
! energy relative to the elements	98	meV/atom
! density of states at the Fermi level	0.692	states/eV/atom